[1]
This record from the Alexandria database describes a relaxed structure of BaPm4Ge4. The functional is GGA-PBE.

Structure (CIF):
```
data_BaPm4Ge4
_chemical_formula_sum 'Ba2 Pm8 Ge8'
_space_group_name_H-M_alt 'P 1'
_space_group_IT_number 1
_space_group_name_Hall 'P 1'
_cell_length_a 9.873
_cell_length_b 9.873
_cell_length_c 5.921
_cell_angle_alpha 90.00
_cell_angle_beta 90.00
_cell_angle_gamma 90.00
loop_
_atom_site_label
_atom_site_type_symbol
_atom_site_fract_x
_atom_site_fract_y
_atom_site_fract_z
_atom_site_occupancy
Ba1 Ba 0.250 0.250 0.250 1
Ba2 Ba 0.750 0.750 0.750 1
Pm1 Pm 0.116 0.629 0.133 1
Pm2 Pm 0.129 0.884 0.633 1
Pm3 Pm 0.371 0.616 0.633 1
Pm4 Pm 0.384 0.871 0.133 1
Pm5 Pm 0.616 0.129 0.867 1
Pm6 Pm 0.629 0.384 0.367 1
Pm7 Pm 0.871 0.116 0.367 1
Pm8 Pm 0.884 0.371 0.867 1
Ge1 Ge 0.070 0.572 0.644 1
Ge2 Ge 0.072 0.930 0.144 1
Ge3 Ge 0.428 0.570 0.144 1
Ge4 Ge 0.430 0.928 0.644 1
Ge5 Ge 0.570 0.072 0.356 1
Ge6 Ge 0.572 0.430 0.856 1
Ge7 Ge 0.928 0.070 0.856 1
Ge8 Ge 0.930 0.428 0.356 1
```

energy of formation from the pure elements = -618 meV per atom

=====

[2]
This record from the Alexandria database describes a relaxed structure of BaPmGe. The functional is GGA-PBE.

Structure (CIF):
```
data_BaPmGe
_chemical_formula_sum 'Ba2 Pm2 Ge2'
_space_group_name_H-M_alt 'P 1'
_space_group_IT_number 1
_space_group_name_Hall 'P 1'
_cell_length_a 8.390
_cell_length_b 8.390
_cell_length_c 5.573
_cell_angle_alpha 90.00
_cell_angle_beta 90.00
_cell_angle_gamma 143.75
loop_
_atom_site_label
_atom_site_type_symbol
_atom_site_fract_x
_atom_site_fract_y
_atom_site_fract_z
_atom_site_occupancy
Ba1 Ba 0.099 0.901 0.750 1
Ba2 Ba 0.901 0.099 0.250 1
Pm1 Pm 0.338 0.662 0.750 1
Pm2 Pm 0.662 0.338 0.250 1
Ge1 Ge 0.500 0.500 0.000 1
Ge2 Ge 0.500 0.500 0.500 1
```

energy of formation from the pure elements = -106 meV per atom

=====

[3]
This record from the Alexandria database describes a relaxed structure of Ba5PmGe4. The functional is GGA-PBE.

Structure (CIF):
```
data_Ba5PmGe4
_chemical_formula_sum 'Ba5 Pm1 Ge4'
_space_group_name_H-M_alt 'P 1'
_space_group_IT_number 1
_space_group_name_Hall 'P 1'
_cell_length_a 9.009
_cell_length_b 9.009
_cell_length_c 7.507
_cell_angle_alpha 94.13
_cell_angle_beta 94.13
_cell_angle_gamma 36.96
loop_
_atom_site_label
_atom_site_type_symbol
_atom_site_fract_x
_atom_site_fract_y
_atom_site_fract_z
_atom_site_occupancy
Ba1 Ba 0.000 0.000 0.000 1
Ba2 Ba 0.315 0.315 0.451 1
Ba3 Ba 0.344 0.344 0.970 1
Ba4 Ba 0.656 0.656 0.030 1
Ba5 Ba 0.685 0.685 0.549 1
Pm1 Pm 0.000 0.000 0.500 1
Ge1 Ge 0.163 0.163 0.762 1
Ge2 Ge 0.490 0.490 0.672 1
Ge3 Ge 0.510 0.510 0.328 1
Ge4 Ge 0.837 0.837 0.238 1
```

energy of formation from the pure elements = -427 meV per atom